# 1
Computed, not measured: a relaxed structure of Nd2AlAgPd6 at the PBE-GGA level of DFT.

* calculated formation energy: -51.3 kJ/mol of atoms
* space group: R-3m, No. 166
* DOS at the Fermi energy: 3.7 states/eV per cell

POSCAR file:
```
Nd2AlAgPd6
1.0
2.8591 1.6507 8.1377
-2.8591 1.6507 8.1377
0.0000 -3.3015 8.1377
Nd Al Ag Pd
2 1 1 6
Cartesian
0.0000 0.0000 4.9919
0.0000 0.0000 19.4212
0.0000 0.0000 12.2066
0.0000 0.0000 0.0000
-1.4571 -0.8413 14.0263
0.0000 -1.6825 10.3868
-1.4571 0.8413 10.3868
1.4571 -0.8413 14.0263
0.0000 1.6825 14.0263
1.4571 0.8413 10.3868
```



# 2
Computed, not measured: a relaxed structure of NaSc3Cl at the PBE-GGA level of DFT.

* formation energy (no corrections): 21.2 kcal/mol of atoms
* space group: Pm-3m, No. 221
* DOS at the Fermi energy: 7.0 states/eV per cell

POSCAR file:
```
NaSc3Cl
1.0
5.3420 0.0000 0.0000
0.0000 5.3420 0.0000
0.0000 0.0000 5.3420
Na Sc Cl
1 3 1
Cartesian
0.0000 0.0000 0.0000
0.0000 0.0000 2.6710
0.0000 2.6710 0.0000
2.6710 0.0000 0.0000
2.6710 2.6710 2.6710
```



# 3
Computed, not measured: a relaxed structure of CoIrCl2 at the PBE-GGA level of DFT.

* formation energy (no corrections): 7.1 kcal/mol of atoms
* space group: R-3m, No. 166
* DOS at the Fermi energy: 4.7 states/eV per cell

POSCAR file:
```
CoIrCl2
1.0
1.5678 0.9051 7.6272
-1.5678 0.9051 7.6272
0.0000 -1.8103 7.6272
Co Ir Cl
1 1 2
Cartesian
0.0000 0.0000 0.0000
0.0000 0.0000 11.4409
0.0000 0.0000 9.1429
0.0000 0.0000 13.7388
```



# 4
Computed, not measured: a relaxed structure of Dy2RuI at the PBE-GGA level of DFT.

* formation energy (no corrections): -12.8 kcal/mol of atoms
* space group: P4/mmm, No. 123
* DOS at the Fermi energy: 2.0 states/eV per cell

POSCAR file:
```
Dy2RuI
1.0
3.4880 0.0000 0.0000
0.0000 3.4880 0.0000
0.0000 0.0000 8.3619
Dy Ru I
2 1 1
Cartesian
0.0000 0.0000 1.6499
0.0000 0.0000 6.7120
1.7440 1.7440 0.0000
1.7440 1.7440 4.1809
```